# AcRh2Pb8

Crystalline AcRh2Pb8 at its relaxed geometry (PBE, the Alexandria database).

The structure belongs to space group C2/m (No. 12); the cell edges are 9.065, 13.443 and 5.215 Å and the angles 90.00°, 98.72° and 90.00°. Symmetry generates all atoms from Ac at (0.000, 0.000, 0.000), Rh at (0.000, 0.324, 0.500), Pb at (0.000, 0.260, 0.000), Pb at (0.108, 0.500, 0.790) and Pb at (0.205, 0.137, 0.601).

For the formation energy from the elements, the calculation gives -1.117 eV per formula unit. The calculated volume is 28.55 Å³ per atom. For the density of states at the Fermi level, the calculation gives 0.6392 states/eV per atom. The theoretical density is 11.1 g/cm³. The total moment comes out at 0.0 μB per formula unit.